{"formula": "RbV2TcO8", "functional": "PBE+U", "state": "relaxed", "lattice_angstrom": [[-2.9118, 3.2006, -3.3294], [-5.0598, 1.3204, 1.5694], [2.5940, 6.7904, 3.7435]], "species": ["Rb", "V", "V", "Tc", "O", "O", "O", "O", "O", "O", "O", "O"], "fractional_positions": [[0.0000, 0.0000, 0.5000], [0.6424, 0.6424, 0.2021], [0.3576, 0.3576, 0.7979], [0.0000, 0.0000, 0.0000], [0.7183, 0.1993, 0.8383], [0.8006, 0.8006, 0.0759], [0.6800, 0.6800, 0.3977], [0.3200, 0.3200, 0.6023], [0.1994, 0.1994, 0.9241], [0.1993, 0.7183, 0.8383], [0.8007, 0.2817, 0.1617], [0.2817, 0.8007, 0.1617]], "dft_energy_ev_per_cell": -86.82, "magmom_total_mub_per_cell": 2.0, "n_ef_per_ev_cell": 4.37}